1.
Entry from Alexandria: Ba2FePb after structural relaxation (PBE).

Structure (POSCAR):
```
Ba2FePb
1.0
8.2196 0.0000 0.0000
0.0000 8.2196 0.0000
0.0000 0.0000 8.2196
Ba Fe Pb
8 4 4
direct
0.2500 0.2500 0.2500
0.2500 0.2500 0.7500
0.2500 0.7500 0.2500
0.2500 0.7500 0.7500
0.7500 0.2500 0.2500
0.7500 0.2500 0.7500
0.7500 0.7500 0.2500
0.7500 0.7500 0.7500
0.0000 0.0000 0.0000
0.0000 0.5000 0.5000
0.5000 0.0000 0.5000
0.5000 0.5000 0.0000
0.0000 0.0000 0.5000
0.0000 0.5000 0.0000
0.5000 0.0000 0.0000
0.5000 0.5000 0.5000
```

Summary:
ΔH_f (0 K) in eV per atom: 0.525
Offset from the most stable computed form in meV/atom: 430.4
M_tot in μB per atom: 0.107



2.
Entry from Alexandria: OsWBr after structural relaxation (PBE).

Structure (POSCAR):
```
OsWBr
1.0
6.1595 0.0000 0.0000
0.0000 6.1595 0.0000
0.0000 0.0000 6.1595
Os W Br
4 4 4
direct
0.0000 0.0000 0.0000
0.0000 0.5000 0.5000
0.5000 0.0000 0.5000
0.5000 0.5000 0.0000
0.2500 0.2500 0.2500
0.2500 0.7500 0.7500
0.7500 0.2500 0.7500
0.7500 0.7500 0.2500
0.2500 0.2500 0.7500
0.2500 0.7500 0.2500
0.7500 0.2500 0.2500
0.7500 0.7500 0.7500
```

Summary:
Offset from the most stable computed form in meV/atom: 659.1
ΔE_f (raw) in eV per atom: 1.33
M_tot in μB per atom: 0.177



3.
Entry from Alexandria: Cu2SiIr after structural relaxation (PBE).

Structure (POSCAR):
```
Cu2SiIr
1.0
2.8433 0.0000 0.0000
0.0000 4.0621 0.0000
0.0000 0.0000 8.7864
Cu Si Ir
4 2 2
direct
0.0000 0.0000 0.2279
0.0000 0.0000 0.7721
0.5000 0.5000 0.2721
0.5000 0.5000 0.7279
0.0000 0.5000 0.5000
0.5000 0.0000 0.0000
0.0000 0.5000 0.0000
0.5000 0.0000 0.5000
```

Summary:
ΔE_f (raw) in eV per atom: -0.20
M_tot in μB per atom: 0.000



4.
Entry from Alexandria: LiMg2Sn4 after structural relaxation (PBE).

Structure (POSCAR):
```
LiMg2Sn4
1.0
6.9756 0.0000 0.0000
0.0000 6.9756 0.0000
0.0000 0.0000 7.1598
Li Mg Sn
2 4 8
direct
0.0000 0.0000 0.0000
0.5000 0.5000 0.5000
0.0000 0.5000 0.0000
0.0000 0.5000 0.5000
0.5000 0.0000 0.0000
0.5000 0.0000 0.5000
0.2500 0.2500 0.2500
0.2500 0.2500 0.7500
0.2500 0.7500 0.2500
0.2500 0.7500 0.7500
0.7500 0.2500 0.2500
0.7500 0.2500 0.7500
0.7500 0.7500 0.2500
0.7500 0.7500 0.7500
```

Summary:
ΔH_f (0 K) in eV per atom: -0.113
Offset from the most stable computed form in meV/atom: 0.0
M_tot in μB per atom: 0.000



5.
Entry from Alexandria: Hf3CuSb2 after structural relaxation (PBE).

Structure (POSCAR):
```
Hf3CuSb2
1.0
11.5030 0.0000 0.0000
0.0000 4.0263 0.0000
0.0000 0.0000 10.7146
Hf Cu Sb
12 4 8
direct
0.0518 0.2500 0.1110
0.1301 0.7500 0.5590
0.2367 0.2500 0.7651
0.2633 0.7500 0.2651
0.3699 0.2500 0.0590
0.4482 0.7500 0.6110
0.5518 0.2500 0.3890
0.6301 0.7500 0.9410
0.7367 0.2500 0.7349
0.7633 0.7500 0.2349
0.8699 0.2500 0.4410
0.9482 0.7500 0.8890
0.1190 0.2500 0.3729
0.3810 0.7500 0.8729
0.6190 0.2500 0.1271
0.8810 0.7500 0.6271
0.0037 0.7500 0.3038
0.1884 0.7500 0.9855
0.3116 0.2500 0.4855
0.4963 0.2500 0.8038
0.5037 0.7500 0.1962
0.6884 0.7500 0.5145
0.8116 0.2500 0.0145
0.9963 0.2500 0.6962
```

Summary:
ΔE_f (raw) in eV per atom: -0.34
M_tot in μB per atom: 0.000



6.
Entry from Alexandria: Zr3AlNi after structural relaxation (PBE).

Structure (POSCAR):
```
Zr3AlNi
1.0
4.8339 0.0000 0.0000
0.0000 4.8339 0.0000
0.0000 0.0000 4.8339
Zr Al Ni
3 1 1
direct
0.0000 0.0000 0.5000
0.0000 0.5000 0.0000
0.5000 0.0000 0.0000
0.5000 0.5000 0.5000
0.0000 0.0000 0.0000
```

Summary:
ΔH_f (0 K) in eV per atom: 0.118
Offset from the most stable computed form in meV/atom: 323.0
M_tot in μB per atom: 0.000



7.
Entry from Alexandria: Zn2FeSe after structural relaxation (PBE).

Structure (POSCAR):
```
Zn2FeSe
1.0
4.9373 0.0000 0.0000
0.0000 7.7318 0.0000
-0.0138 0.0000 3.3478
Zn Fe Se
4 2 2
direct
0.2500 0.2500 0.0000
0.2500 0.7500 0.0000
0.7500 0.2500 0.0000
0.7500 0.7500 0.0000
0.0000 0.0000 0.5000
0.5000 0.5000 0.5000
0.0000 0.5000 0.5000
0.5000 0.0000 0.5000
```

Summary:
ΔE_f (raw) in eV per atom: 0.19
M_tot in μB per atom: 0.673



8.
Entry from Alexandria: PaGePb after structural relaxation (PBE).

Structure (POSCAR):
```
PaGePb
1.0
5.1908 0.0000 0.0000
-2.5954 4.4954 0.0000
0.0000 0.0000 3.1412
Pa Ge Pb
1 1 1
direct
0.0000 0.0000 0.0000
0.3333 0.6667 0.4984
0.6667 0.3333 0.5001
```

Summary:
ΔH_f (0 K) in eV per atom: 0.132
Offset from the most stable computed form in meV/atom: 0.0
M_tot in μB per atom: 0.235



9.
Entry from Alexandria: SnRhI2 after structural relaxation (PBE).

Structure (POSCAR):
```
SnRhI2
1.0
10.1882 0.0000 0.0000
0.0000 10.1882 0.0000
0.0000 0.0000 5.1974
Sn Rh I
4 4 8
direct
0.0000 0.0000 0.0000
0.0000 0.5000 0.2500
0.5000 0.0000 0.7500
0.5000 0.5000 0.5000
0.0000 0.0000 0.5000
0.0000 0.5000 0.7500
0.5000 0.0000 0.2500
0.5000 0.5000 0.0000
0.0909 0.7500 0.6250
0.2500 0.0909 0.3750
0.2500 0.4091 0.8750
0.4091 0.7500 0.1250
0.5909 0.2500 0.1250
0.7500 0.5909 0.8750
0.7500 0.9091 0.3750
0.9091 0.2500 0.6250
```

Summary:
Offset from the most stable computed form in meV/atom: 0.0
ΔE_f (raw) in eV per atom: -0.07
M_tot in μB per atom: 0.000



10.
Entry from Alexandria: Al2Cu2As after structural relaxation (PBE).

Structure (POSCAR):
```
Al2Cu2As
1.0
7.2344 0.0000 0.0000
0.0000 7.2344 0.0000
0.0000 0.0000 2.8578
Al Cu As
4 4 2
direct
0.1635 0.3365 0.0000
0.3365 0.8365 0.0000
0.6635 0.1635 0.0000
0.8365 0.6635 0.0000
0.1309 0.6309 0.5000
0.3691 0.1309 0.5000
0.6309 0.8691 0.5000
0.8691 0.3691 0.5000
0.0000 0.0000 0.5000
0.5000 0.5000 0.5000
```

Summary:
ΔH_f (0 K) in eV per atom: -0.013
Offset from the most stable computed form in meV/atom: 0.0
M_tot in μB per atom: 0.000



11.
Entry from Alexandria: TaNb14Ga after structural relaxation (PBE).

Structure (POSCAR):
```
TaNb14Ga
1.0
6.6244 0.0000 0.0000
0.0000 6.6244 0.0000
0.0000 0.0000 6.6246
Ta Nb Ga
1 14 1
direct
0.0000 0.0000 0.0000
0.0000 0.0000 0.5000
0.0000 0.5000 0.0000
0.0000 0.5000 0.5000
0.2486 0.2486 0.2519
0.2486 0.2486 0.7481
0.2486 0.7514 0.2519
0.2486 0.7514 0.7481
0.5000 0.0000 0.0000
0.5000 0.0000 0.5000
0.5000 0.5000 0.5000
0.7514 0.2486 0.2519
0.7514 0.2486 0.7481
0.7514 0.7514 0.2519
0.7514 0.7514 0.7481
0.5000 0.5000 0.0000
```

Summary:
ΔH_f (0 K) in eV per atom: -0.056
M_tot in μB per atom: 0.000



12.
Entry from Alexandria: Cu2HgC after structural relaxation (PBE).

Structure (POSCAR):
```
Cu2HgC
1.0
4.6729 0.0000 0.0000
0.0000 4.6729 0.0000
0.0000 0.0000 11.9463
Cu Hg C
8 4 4
direct
0.0419 0.2500 0.1250
0.2500 0.5419 0.3750
0.2500 0.9581 0.8750
0.4581 0.2500 0.6250
0.5419 0.7500 0.6250
0.7500 0.0419 0.8750
0.7500 0.4581 0.3750
0.9581 0.7500 0.1250
0.0000 0.0000 0.5000
0.0000 0.5000 0.7500
0.5000 0.0000 0.2500
0.5000 0.5000 0.0000
0.0000 0.0000 0.0000
0.0000 0.5000 0.2500
0.5000 0.0000 0.7500
0.5000 0.5000 0.5000
```

Summary:
ΔH_f (0 K) in eV per atom: 0.836
Offset from the most stable computed form in meV/atom: 0.0
M_tot in μB per atom: 0.000



13.
Entry from Alexandria: BeO after structural relaxation (PBE).

Structure (POSCAR):
```
BeO
1.0
3.8242 0.0000 0.0000
0.0000 3.8242 0.0000
0.0000 0.0000 3.8242
Be O
4 4
direct
0.0000 0.0000 0.0000
0.0000 0.5000 0.5000
0.5000 0.0000 0.5000
0.5000 0.5000 0.0000
0.2500 0.2500 0.2500
0.2500 0.7500 0.7500
0.7500 0.2500 0.7500
0.7500 0.7500 0.2500
```

Summary:
Offset from the most stable computed form in meV/atom: 6.5
ΔE_f (raw) in eV per atom: -2.75
M_tot in μB per atom: 0.000



14.
Entry from Alexandria: Li2Ca2Au after structural relaxation (PBE).

Structure (POSCAR):
```
Li2Ca2Au
1.0
3.7538 0.0000 0.0000
0.0000 3.7538 0.0000
0.0000 0.0000 18.5017
Li Ca Au
4 4 2
direct
0.0000 0.5000 0.2500
0.0000 0.5000 0.7500
0.5000 0.0000 0.2500
0.5000 0.0000 0.7500
0.0000 0.0000 0.0926
0.0000 0.0000 0.9074
0.5000 0.5000 0.4074
0.5000 0.5000 0.5926
0.0000 0.0000 0.5000
0.5000 0.5000 0.0000
```

Summary:
ΔH_f (0 K) in eV per atom: -0.271
Offset from the most stable computed form in meV/atom: 29.1
M_tot in μB per atom: 0.000



15.
Entry from Alexandria: SrSb3Pt3 after structural relaxation (PBE).

Structure (POSCAR):
```
SrSb3Pt3
1.0
7.3538 0.0000 0.0000
0.0000 7.3538 0.0000
0.0000 0.0000 7.3538
Sr Sb Pt
2 6 6
direct
0.0000 0.0000 0.0000
0.5000 0.5000 0.5000
0.0000 0.2500 0.5000
0.0000 0.7500 0.5000
0.2500 0.5000 0.0000
0.5000 0.0000 0.2500
0.5000 0.0000 0.7500
0.7500 0.5000 0.0000
0.0000 0.5000 0.2500
0.0000 0.5000 0.7500
0.2500 0.0000 0.5000
0.5000 0.2500 0.0000
0.5000 0.7500 0.0000
0.7500 0.0000 0.5000
```

Summary:
ΔE_f (raw) in eV per atom: -0.47
M_tot in μB per atom: 0.000



16.
Entry from Alexandria: Zn6AgRh after structural relaxation (PBE).

Structure (POSCAR):
```
Zn6AgRh
1.0
3.8874 -5.5005 0.0000
3.8874 5.5005 0.0000
0.0000 0.0000 11.0180
Zn Ag Rh
24 4 4
direct
0.0000 0.0000 0.0000
0.0000 0.0000 0.5000
0.1126 0.3674 0.1209
0.1126 0.3674 0.8791
0.1156 0.3626 0.3702
0.1156 0.3626 0.6298
0.2482 0.7518 0.2431
0.2482 0.7518 0.7569
0.3626 0.1156 0.3702
0.3626 0.1156 0.6298
0.3674 0.1126 0.1209
0.3674 0.1126 0.8791
0.5000 0.5000 0.0000
0.5000 0.5000 0.5000
0.6326 0.8874 0.1209
0.6326 0.8874 0.8791
0.6374 0.8844 0.3702
0.6374 0.8844 0.6298
0.7518 0.2482 0.2431
0.7518 0.2482 0.7569
0.8844 0.6374 0.3702
0.8844 0.6374 0.6298
0.8874 0.6326 0.1209
0.8874 0.6326 0.8791
0.2590 0.7410 0.5000
0.5000 0.5000 0.2463
0.5000 0.5000 0.7537
0.7410 0.2590 0.5000
0.0000 0.0000 0.2444
0.0000 0.0000 0.7556
0.2630 0.7370 0.0000
0.7370 0.2630 0.0000
```

Summary:
ΔH_f (0 K) in eV per atom: -0.162
Offset from the most stable computed form in meV/atom: 0.0
M_tot in μB per atom: 0.000



17.
Entry from Alexandria: Nd8Sb5Te after structural relaxation (PBE).

Structure (POSCAR):
```
Nd8Sb5Te
1.0
-4.7501 4.7501 4.7597
4.7501 -4.7501 4.7597
4.7501 4.7501 -4.7597
Nd Sb Te
8 5 1
direct
0.0173 0.6238 0.7490
0.2347 0.4876 0.1093
0.3762 0.1252 0.3935
0.3783 0.1254 0.8907
0.5124 0.6217 0.7472
0.7317 0.9827 0.6065
0.8748 0.2683 0.2510
0.8746 0.7653 0.2528
0.1239 0.2489 0.6250
0.2500 0.7500 0.5000
0.5011 0.8761 0.1250
0.6239 0.4989 0.3750
0.7511 0.3761 0.8750
0.0000 0.0000 0.0000
```

Summary:
ΔE_f (raw) in eV per atom: -1.09
M_tot in μB per atom: 0.000



18.
Entry from Alexandria: Tb2Tm5Zr after structural relaxation (PBE).

Structure (POSCAR):
```
Tb2Tm5Zr
1.0
2.7188 -5.8469 0.0000
2.7188 5.8469 0.0000
0.0000 0.0000 15.1504
Tb Tm Zr
4 10 2
direct
0.2213 0.7787 0.6331
0.2213 0.7787 0.8669
0.7787 0.2213 0.1331
0.7787 0.2213 0.3669
0.0807 0.9193 0.0991
0.0807 0.9193 0.4009
0.3793 0.6207 0.0519
0.3793 0.6207 0.4481
0.4640 0.5360 0.7500
0.5360 0.4640 0.2500
0.6207 0.3793 0.5519
0.6207 0.3793 0.9481
0.9193 0.0807 0.5991
0.9193 0.0807 0.9009
0.2710 0.7290 0.2500
0.7290 0.2710 0.7500
```

Summary:
ΔH_f (0 K) in eV per atom: 0.137
M_tot in μB per atom: 0.000



19.
Entry from Alexandria: TiNbTc after structural relaxation (PBE).

Structure (POSCAR):
```
TiNbTc
1.0
9.5037 0.0000 0.0000
0.0000 4.5025 0.0000
-3.2292 0.0000 4.5464
Ti Nb Tc
4 4 4
direct
0.0000 0.0000 0.0000
0.0000 0.0000 0.5000
0.5000 0.5000 0.0000
0.5000 0.5000 0.5000
0.1597 0.5000 0.3374
0.3403 0.0000 0.6626
0.6597 0.0000 0.3374
0.8403 0.5000 0.6626
0.1691 0.5000 0.8407
0.3309 0.0000 0.1593
0.6691 0.0000 0.8407
0.8309 0.5000 0.1593
```

Summary:
ΔH_f (0 K) in eV per atom: -0.228
Offset from the most stable computed form in meV/atom: 116.3
M_tot in μB per atom: 0.000



20.
Entry from Alexandria: SmLuPd2 after structural relaxation (PBE).

Structure (POSCAR):
```
SmLuPd2
1.0
7.0348 0.0000 0.0000
0.0000 7.0348 0.0000
0.0000 0.0000 7.0348
Sm Lu Pd
4 4 8
direct
0.0000 0.0000 0.0000
0.0000 0.5000 0.5000
0.5000 0.0000 0.5000
0.5000 0.5000 0.0000
0.0000 0.0000 0.5000
0.0000 0.5000 0.0000
0.5000 0.0000 0.0000
0.5000 0.5000 0.5000
0.2500 0.2500 0.2500
0.2500 0.2500 0.7500
0.2500 0.7500 0.2500
0.2500 0.7500 0.7500
0.7500 0.2500 0.2500
0.7500 0.2500 0.7500
0.7500 0.7500 0.2500
0.7500 0.7500 0.7500
```

Summary:
ΔH_f (0 K) in eV per atom: -0.864
Offset from the most stable computed form in meV/atom: 1.0
M_tot in μB per atom: 0.000



21.
Entry from Alexandria: AgSn2GeSe4 after structural relaxation (PBE).

Structure (POSCAR):
```
AgSn2GeSe4
1.0
7.0577 0.0000 0.0000
0.0000 4.1020 0.0000
-2.4142 0.0000 6.7279
Ag Sn Ge Se
1 2 1 4
direct
0.0000 0.0000 0.0000
0.5000 0.0000 0.5000
0.5000 0.5000 0.0000
0.0000 0.5000 0.5000
0.2360 0.0000 0.7406
0.2379 0.5000 0.2500
0.7621 0.5000 0.7500
0.7640 0.0000 0.2594
```

Summary:
ΔE_f (raw) in eV per atom: -0.30
M_tot in μB per atom: 0.000



22.
Entry from Alexandria: RbAlIn2 after structural relaxation (PBE).

Structure (POSCAR):
```
RbAlIn2
1.0
5.9697 0.0000 0.0000
0.0000 5.9697 0.0000
0.0000 0.0000 18.4666
Rb Al In
4 4 8
direct
0.0000 0.2500 0.3750
0.0000 0.7500 0.6250
0.5000 0.2500 0.1250
0.5000 0.7500 0.8750
0.0000 0.2500 0.8750
0.0000 0.7500 0.1250
0.5000 0.2500 0.6250
0.5000 0.7500 0.3750
0.0000 0.0000 0.0000
0.0000 0.5000 0.0000
0.2500 0.2500 0.7500
0.2500 0.7500 0.2500
0.5000 0.0000 0.5000
0.5000 0.5000 0.5000
0.7500 0.2500 0.7500
0.7500 0.7500 0.2500
```

Summary:
ΔH_f (0 K) in eV per atom: 0.177
M_tot in μB per atom: 0.000



23.
Entry from Alexandria: CuReTe4 after structural relaxation (PBE).

Structure (POSCAR):
```
CuReTe4
1.0
0.0000 4.4014 4.4014
4.4014 0.0000 4.4014
4.4014 4.4014 0.0000
Cu Re Te
1 1 4
direct
0.0000 0.0000 0.0000
0.7500 0.7500 0.7500
0.3754 0.3754 0.3754
0.3754 0.3754 0.8740
0.3754 0.8740 0.3754
0.8740 0.3754 0.3754
```

Summary:
ΔE_f (raw) in eV per atom: 1.51
M_tot in μB per atom: 0.737